First-principles (PBE+U) data for a relaxed ZnCrIrO6 crystal, as listed in Alexandria via LeMat-Bulk.

Summary:
Volume   195.5 Å³/cell
Final energy   -6.33 eV/atom
Symmetry   P4_2nm (102)
Total magnetic moment   4.54 Bohr magnetons per cell

Unit cell a=4.597 b=4.597 c=9.252 alpha=90.00 beta=90.00 gamma=90.00
Atoms (fractional coordinates):
Zn (0.000, 0.000, 0.000)
Zn (0.500, 0.500, 0.500)
Cr (0.000, 0.000, 0.668)
Cr (0.500, 0.500, 0.168)
Ir (0.000, 0.000, 0.334)
Ir (0.500, 0.500, 0.834)
O (0.188, 0.188, 0.498)
O (0.200, 0.200, 0.177)
O (0.209, 0.209, 0.829)
O (0.291, 0.709, 0.329)
O (0.300, 0.700, 0.677)
O (0.312, 0.688, 0.998)
O (0.688, 0.312, 0.998)
O (0.700, 0.300, 0.677)
O (0.709, 0.291, 0.329)
O (0.791, 0.791, 0.829)
O (0.800, 0.800, 0.177)
O (0.812, 0.812, 0.498)